# 1
This record from Alexandria via LeMat-Bulk describes a geometry-optimized Tb3Er6TmSc2 structure. The functional is GGA-PBE.

abc: 6.0317 6.0317 11.5062
angles: 95.01 95.01 119.95
Sites, in units of the cell vectors:
Tb  0.0000  0.0000  0.0000
Tb  0.3332  0.6668  0.0000
Tb  0.6668  0.3332  0.0000
Er  0.0830  0.4184  0.2564
Er  0.2461  0.2461  0.7436
Er  0.4184  0.0830  0.2564
Er  0.5816  0.9170  0.7436
Er  0.7539  0.7539  0.2564
Er  0.9170  0.5816  0.7436
Tm  0.5000  0.5000  0.5000
Sc  0.1667  0.8333  0.5000
Sc  0.8333  0.1667  0.5000

---

# 2
This record from Alexandria via LeMat-Bulk describes a geometry-optimized TbEr3Tm6Sc2 structure. The functional is GGA-PBE.

abc: 5.9921 5.9921 11.4743
angles: 94.99 94.99 119.94
Sites, in units of the cell vectors:
Tb  0.0000  0.0000  0.0000
Er  0.1670  0.8330  0.5000
Er  0.5000  0.5000  0.5000
Er  0.8330  0.1670  0.5000
Tm  0.0827  0.4180  0.2459
Tm  0.2528  0.2528  0.7541
Tm  0.4180  0.0827  0.2459
Tm  0.5820  0.9173  0.7541
Tm  0.7472  0.7472  0.2459
Tm  0.9173  0.5820  0.7541
Sc  0.3334  0.6666  0.0000
Sc  0.6666  0.3334  0.0000

---

# 3
This record from Alexandria via LeMat-Bulk describes a geometry-optimized TbEr2TmSc structure. The functional is GGA-PBE.

abc: 8.5475 8.5475 6.2611
angles: 90.00 90.00 137.08
Sites, in units of the cell vectors:
Tb  0.1598  0.8402  0.7500
Tb  0.8402  0.1598  0.2500
Er  0.2515  0.2515  0.0000
Er  0.2515  0.2515  0.5000
Er  0.7485  0.7485  0.0000
Er  0.7485  0.7485  0.5000
Tm  0.2496  0.7504  0.2500
Tm  0.7504  0.2496  0.7500
Sc  0.3450  0.6550  0.7500
Sc  0.6550  0.3450  0.2500

---

# 4
This record from Alexandria via LeMat-Bulk describes a geometry-optimized TbErTmSc structure. The functional is GGA-PBE.

## Properties
Energy above the most stable polymorph in this dataset (meV/atom): 78

abc: 7.7796 7.7796 7.7796
angles: 90.00 90.00 90.00
Sites, in units of the cell vectors:
Tb  0.0000  0.0000  0.0000
Tb  0.0000  0.5000  0.5000
Tb  0.5000  0.0000  0.5000
Tb  0.5000  0.5000  0.0000
Er  0.0000  0.0000  0.5000
Er  0.0000  0.5000  0.0000
Er  0.5000  0.0000  0.0000
Er  0.5000  0.5000  0.5000
Tm  0.2500  0.2500  0.7500
Tm  0.2500  0.7500  0.2500
Tm  0.7500  0.2500  0.2500
Tm  0.7500  0.7500  0.7500
Sc  0.2500  0.2500  0.2500
Sc  0.2500  0.7500  0.7500
Sc  0.7500  0.2500  0.7500
Sc  0.7500  0.7500  0.2500

---

# 5
This record from Alexandria via LeMat-Bulk describes a geometry-optimized Tb2ErTmSc4 structure. The functional is GGA-PBE.

abc: 4.8684 4.8684 9.3252
angles: 90.00 90.00 90.00
Sites, in units of the cell vectors:
Tb  0.0000  0.0000  0.0000
Tb  0.5000  0.5000  0.5000
Er  0.0000  0.0000  0.5000
Tm  0.5000  0.5000  0.0000
Sc  0.0000  0.5000  0.2498
Sc  0.0000  0.5000  0.7502
Sc  0.5000  0.0000  0.2498
Sc  0.5000  0.0000  0.7502

---

# 6
This record from Alexandria via LeMat-Bulk describes a geometry-optimized Tb6ErTm2Sc structure. The functional is GGA-PBE.

abc: 8.6631 8.6631 9.3817
angles: 93.83 93.83 117.21
Sites, in units of the cell vectors:
Tb  0.0055  0.5633  0.1890
Tb  0.1236  0.7557  0.5541
Tb  0.2443  0.8764  0.9459
Tb  0.2930  0.5068  0.3832
Tb  0.4367  0.9945  0.3110
Tb  0.4932  0.7070  0.1168
Tb  0.5068  0.2930  0.8832
Tb  0.5633  0.0055  0.6890
Tb  0.7070  0.4932  0.6168
Tb  0.7557  0.1236  0.0541
Tb  0.8764  0.2443  0.4459
Tb  0.9945  0.4367  0.8110
Er  0.0234  0.9766  0.2500
Er  0.9766  0.0234  0.7500
Tm  0.2010  0.3027  0.0470
Tm  0.3027  0.2010  0.5470
Tm  0.6973  0.7990  0.4530
Tm  0.7990  0.6973  0.9530
Sc  0.4134  0.5866  0.7500
Sc  0.5866  0.4134  0.2500

---

# 7
This record from Alexandria via LeMat-Bulk describes a geometry-optimized TbEr2Tm6Sc3 structure. The functional is GGA-PBE.

abc: 5.9725 5.9725 11.3701
angles: 95.02 95.02 119.95
Sites, in units of the cell vectors:
Tb  0.0000  0.0000  0.0000
Er  0.3333  0.6667  0.0000
Er  0.6667  0.3333  0.0000
Tm  0.0862  0.4197  0.2583
Tm  0.2472  0.2472  0.7416
Tm  0.4197  0.0862  0.2583
Tm  0.5803  0.9138  0.7417
Tm  0.7528  0.7528  0.2584
Tm  0.9138  0.5803  0.7417
Sc  0.1669  0.8331  0.5000
Sc  0.5000  0.5000  0.5000
Sc  0.8331  0.1669  0.5000

---

# 8
This record from Alexandria via LeMat-Bulk describes a geometry-optimized Tb2ErTm6Sc3 structure. The functional is GGA-PBE.

abc: 5.9814 5.9814 11.3794
angles: 95.02 95.02 119.96
Sites, in units of the cell vectors:
Tb  0.1667  0.8333  0.0000
Tb  0.8333  0.1667  0.0000
Er  0.5000  0.5000  0.0000
Tm  0.0805  0.4137  0.7411
Tm  0.2532  0.2532  0.2588
Tm  0.4137  0.0805  0.7411
Tm  0.5863  0.9195  0.2589
Tm  0.7468  0.7468  0.7412
Tm  0.9195  0.5863  0.2589
Sc  0.0000  0.0000  0.5000
Sc  0.3334  0.6666  0.5000
Sc  0.6666  0.3334  0.5000

---

| no. | total moment (μB per atom) | energy of formation (kcal/mol of atoms) |
| --- | --- | --- |
| 1 | 0.0000 | 0.856 |
| 2 | 0.0000 | 0.890 |
| 3 | 0.0004 | 8.909 |
| 4 | 0.0003 | 2.794 |
| 5 | 0.0000 | 1.192 |
| 6 | 0.0000 | 2.941 |
| 7 | 0.0000 | 1.011 |
| 8 | 0.0001 | 1.006 |